Record 1
# TbScHgOs, relaxed, DFT PBE
data_TbScHgOs
_chemical_formula_sum 'Tb1 Sc1 Hg1 Os1'
_cell_length_a 3.374
_cell_length_b 3.374
_cell_length_c 7.407
_cell_angle_alpha 90.00
_cell_angle_beta 90.00
_cell_angle_gamma 90.00
_space_group_name_H-M_alt 'P 4 m m'
_space_group_IT_number 99
_space_group_name_Hall 'P 4 -2'
loop_
_atom_site_label
_atom_site_type_symbol
_atom_site_fract_x
_atom_site_fract_y
_atom_site_fract_z
Tb1 Tb 0.000 0.000 0.000
Sc1 Sc 0.000 0.000 0.565
Hg1 Hg 0.500 0.500 0.307
Os1 Os 0.500 0.500 0.763
# * N(E_F): 3.21 states/eV/cell
# * ΔE_f: -0.415 eV per atom
# * calculated volume: 21.08 A^3/atom
# * relative energy among the computed polymorphs: 0.0 kJ/mol of atoms

=====

Record 2
# TiZn2Ir, relaxed, DFT PBE
data_TiZn2Ir
_chemical_formula_sum 'Ti2 Zn4 Ir2'
_cell_length_a 5.369
_cell_length_b 4.315
_cell_length_c 5.484
_cell_angle_alpha 90.00
_cell_angle_beta 111.79
_cell_angle_gamma 90.00
_space_group_name_H-M_alt 'P 1 21/m 1'
_space_group_IT_number 11
_space_group_name_Hall '-P 2yb'
loop_
_atom_site_label
_atom_site_type_symbol
_atom_site_fract_x
_atom_site_fract_y
_atom_site_fract_z
Ti1 Ti 0.131 0.250 0.367
Zn1 Zn 0.195 0.250 0.881
Zn2 Zn 0.322 0.750 0.137
Ir1 Ir 0.350 0.750 0.625
# * N(E_F): 3.72 states/eV/cell
# * ΔE_f: -0.427 eV per atom
# * calculated volume: 14.75 A^3/atom